The following is a PBE-GGA calculation of a relaxed ZrCrPb2 crystal, from the Alexandria database.

ΔE to the lowest computed polymorph ... 0.107 eV per atom
Crystal system ... orthorhombic
Magnetic moment ... 2.76 μB/cell
Raw total energy ... -6.079 eV/atom
DFT formation energy ... 318 meV per atom

Cell lengths 5.8596, 5.8596, 5.8596 Å; angles 146.14, 123.24, 67.75 degrees
Each line ends with the local moment (μB).
Fractional positions:
Cr (0.7500, 0.2500, 0.5000)  3.19
Pb (0.9829, 0.9829, 0.0000)  -0.04
Pb (0.5171, 0.5171, 0.0000)  -0.04
Zr (0.2500, 0.7500, 0.5000)  -0.37